A plane-wave DFT calculation with GGA+U was carried out for a relaxed HfZrCo2F crystal.

Computed properties:
N(E_F) = 0.854 states/eV per atom
uncorrected energy = -5.968 eV per atom

Lattice parameters (Å, degrees): 4.833 4.833 3.982 90.00 90.00 90.00
Positions (direct):
Hf: 0.000 0.000 0.000
Zr: 0.500 0.500 0.500
Co: 0.000 0.500 0.500
Co: 0.500 0.000 0.500
F: 0.500 0.500 0.000